{
  "formula": "YSb2Cl",
  "functional": "PBE-GGA",
  "state": "optimized geometry",
  "lattice": [[4.681, 0.000, 0.000], [0.000, 3.889, 0.000], [-0.304, 0.000, 7.793]],
  "species": ["Y", "Sb", "Sb", "Cl"],
  "frac_coords": [[0.000, 0.000, 0.000], [0.300, 0.000, 0.368], [0.509, 0.500, 0.136], [0.937, 0.500, 0.759]],
  "e_form_raw_ev_per_atom": -0.843,
  "space_group": "No. 6",
  "volume_a3_per_cell": 141.9
}